[1]
Density functional theory data (PBE) for a relaxed structure of Tb2BeAlAu6.

CIF file:
```
data_Tb2BeAlAu6
_cell_length_a 5.996
_cell_length_b 7.257
_cell_length_c 7.192
_cell_angle_alpha 51.79
_cell_angle_beta 64.47
_cell_angle_gamma 89.80
_symmetry_space_group_name_H-M 'P 1'
_symmetry_Int_Tables_number 1
_symmetry_space_group_name_Hall 'P 1'
loop_
_atom_site_label
_atom_site_type_symbol
_atom_site_fract_x
_atom_site_fract_y
_atom_site_fract_z
_atom_site_occupancy
Tb1 Tb 0.726 0.156 0.548 1
Tb2 Tb 0.274 0.844 0.452 1
Be1 Be 0.000 0.000 0.000 1
Al1 Al 0.500 0.500 0.000 1
Au1 Au 0.234 0.198 0.532 1
Au2 Au 0.677 0.690 0.147 1
Au3 Au 0.180 0.694 0.150 1
Au4 Au 0.820 0.306 0.850 1
Au5 Au 0.323 0.310 0.853 1
Au6 Au 0.766 0.802 0.468 1
```

Computed properties:
The formation energy is -0.492 eV/atom. The space-group type is P-1, No. 2. The density of states at the Fermi level comes out at 4.50 states/eV/cell. The crystal system is triclinic. As for the spin magnetization: 0.00 μB per formula unit.

[2]
Density functional theory data (PBE) for a relaxed structure of Th2Be3AlAu4.

CIF file:
```
data_Th2Be3AlAu4
_cell_length_a 4.299
_cell_length_b 4.299
_cell_length_c 9.879
_cell_angle_alpha 90.00
_cell_angle_beta 90.00
_cell_angle_gamma 90.00
_symmetry_space_group_name_H-M 'P 1'
_symmetry_Int_Tables_number 1
_symmetry_space_group_name_Hall 'P 1'
loop_
_atom_site_label
_atom_site_type_symbol
_atom_site_fract_x
_atom_site_fract_y
_atom_site_fract_z
_atom_site_occupancy
Th1 Th 0.500 0.000 0.247 1
Th2 Th 0.000 0.500 0.753 1
Be1 Be 0.000 0.000 0.500 1
Be2 Be 0.500 0.000 0.877 1
Be3 Be 0.000 0.500 0.123 1
Al1 Al 0.500 0.500 0.500 1
Au1 Au 0.500 0.500 0.000 1
Au2 Au 0.000 0.000 0.000 1
Au3 Au 0.500 0.000 0.638 1
Au4 Au 0.000 0.500 0.362 1
```

Computed properties:
The formation energy is -0.478 eV/atom. The space-group type is P-4m2, No. 115. The density of states at the Fermi level comes out at 7.48 states/eV/cell. The crystal system is tetragonal. As for the spin magnetization: 0.00 μB per formula unit.

[3]
Density functional theory data (PBE) for a relaxed structure of Th2BeAl4Au3.

CIF file:
```
data_Th2BeAl4Au3
_cell_length_a 4.337
_cell_length_b 4.337
_cell_length_c 10.504
_cell_angle_alpha 90.00
_cell_angle_beta 90.00
_cell_angle_gamma 90.00
_symmetry_space_group_name_H-M 'P 1'
_symmetry_Int_Tables_number 1
_symmetry_space_group_name_Hall 'P 1'
loop_
_atom_site_label
_atom_site_type_symbol
_atom_site_fract_x
_atom_site_fract_y
_atom_site_fract_z
_atom_site_occupancy
Th1 Th 0.500 0.000 0.260 1
Th2 Th 0.000 0.500 0.740 1
Be1 Be 0.500 0.500 0.500 1
Al1 Al 0.500 0.500 0.000 1
Al2 Al 0.000 0.000 0.000 1
Al3 Al 0.500 0.000 0.624 1
Al4 Al 0.000 0.500 0.376 1
Au1 Au 0.000 0.000 0.500 1
Au2 Au 0.500 0.000 0.864 1
Au3 Au 0.000 0.500 0.136 1
```

Computed properties:
The formation energy is -0.591 eV/atom. The space-group type is P-4m2, No. 115. The density of states at the Fermi level comes out at 4.83 states/eV/cell. The crystal system is tetragonal. As for the spin magnetization: 0.00 μB per formula unit.